Record 1
Here is AcMgCu17 after structural relaxation from the Alexandria database. Energies are from PBE-GGA.

Unit cell a=8.6081 b=8.6081 c=12.5243 alpha=90.00 beta=90.00 gamma=120.00
With the nearest neighbours (Å) after each atom.
Space group R3m (No. 160, hexagonal axes)
One atom of each set of equivalent atoms:
Ac1 0.0000 0.0000 0.0000  19 Cu 3.09-3.31
Mg1 0.0000 0.0000 0.6795  13 Cu 2.92-3.09
Cu1 0.0000 0.0000 0.2528  4 Cu 2.43-2.66
Cu2 0.0000 0.0000 0.4466  7 Cu 2.43-2.62
Cu3 0.0013 0.5007 0.8426  10 Cu 2.45-2.66
Cu4 0.0049 0.5025 0.4969  9 Cu 2.50-2.76
Cu5 0.0055 0.2974 0.3436  8 Cu 2.45-2.63
Cu6 0.0123 0.5062 0.1896  9 Cu 2.45-2.62

Output
Magnetic moment in μB/f.u.: 0.00
Density in g/cm3: 8.25
DOS at the Fermi energy in states/eV/f.u.: 6.16
Final energy in eV per atom: -3.997
E_form in eV/f.u.: -0.6
Volume in A^3/atom: 14.1

=====

Record 2
Here is Ti12Ga5Cu2 after structural relaxation from the Alexandria database. Energies are from PBE-GGA.

Unit cell a=11.4488 b=7.7171 c=7.0797 alpha=90.00 beta=92.24 gamma=90.00
With the nearest neighbours (Å) after each atom.
Space group C2/m (No. 12)
One atom of each set of equivalent atoms:
Ti1 0.0780 0.0000 0.1824  2 Ga 2.57-2.71, 6 Ti 2.67-2.75, 2 Cu 2.80
Ti2 0.0899 0.5000 0.6301  5 Ti 2.71-2.91, 3 Ga 2.72-2.88, 2 Cu 2.84
Ti3 0.1154 0.1909 0.8632  4 Ti 2.67-2.95, 4 Ga 2.67-2.91, 1 Cu 2.85
Ti4 0.1445 0.3177 0.2912  1 Cu 2.51, 1 Ti 2.67, 1 Ga 2.69
Ga1 0.0000 0.5000 0.0000  2 Ga 2.53
Ga2 0.1832 0.0000 0.5312  2 Cu 2.50, 3 Ti 2.69-2.71
Ga3 0.2188 0.5000 0.9606  1 Ga 2.53, 6 Ti 2.57-2.74
Cu1 0.0000 0.1766 0.5000  2 Ga 2.50, 2 Ti 2.51, 1 Cu 2.73

Output
Magnetic moment in μB/f.u.: 0.00
Density in g/cm3: 5.58
DOS at the Fermi energy in states/eV/f.u.: 18.42
Final energy in eV per atom: -6.370
E_form in eV/f.u.: -3.0
Volume in A^3/atom: 16.4

=====

- What is the formula in the first record?
  AcMgCu17

=====

- Look up the DOS at the Fermi energy of the first one.
  6.16 states/eV/f.u.

=====

- Look up the density of the first one.
  8.25 g/cm3

=====

- Among the records above, which one has the lowest density?
  Ti12Ga5Cu2